(1)
A geometry-optimized CuNiHg2 structure. Source: Alexandria, functional GGA-PBE.

Structure (extended XYZ):
```
4
Lattice="-3.404 -2.918 -0.288 -1.000 -3.963 -1.866 1.192 -3.379 4.054" Properties=species:S:1:pos:R:3 pbc="T T T"
Hg 1.175 -3.382 4.030
Hg -1.589 -5.127 0.973
Ni -2.409 -7.694 1.425
Cu -0.803 -2.565 0.475
```

Values from the calculation:
- formation energy (eV per atom) = 0.290
- spin magnetization (μB/cell) = 0.00


(2)
A geometry-optimized CuNiHg2 structure. Source: Alexandria, functional GGA-PBE.

Structure (extended XYZ):
```
8
Lattice="-1.771 2.056 -3.007 0.057 -3.328 -2.309 -9.087 -3.011 0.564" Properties=species:S:1:pos:R:3 pbc="T T T"
Ni -4.944 -3.487 -2.201
Ni -0.857 -0.636 -2.658
Hg -3.367 0.111 -2.019
Hg -8.316 -3.362 -4.222
Hg -7.458 -2.744 -1.576
Hg -2.462 -2.570 -1.686
Cu -5.858 -0.795 -2.550
Cu 0.000 0.000 0.000
```

Values from the calculation:
- formation energy (eV per atom) = 0.474
- spin magnetization (μB/cell) = 0.00


(3)
A geometry-optimized CuNiHg2 structure. Source: Alexandria, functional GGA-PBE.

Structure (extended XYZ):
```
4
Lattice="-0.278 4.532 -0.360 -2.565 1.872 -3.265 -3.872 2.138 1.090" Properties=species:S:1:pos:R:3 pbc="T T T"
Cu -3.358 4.271 -1.268
Ni -5.037 6.406 -1.902
Hg -1.679 2.135 -0.634
Hg 0.000 0.000 0.000
```

Values from the calculation:
- formation energy (eV per atom) = 0.352
- spin magnetization (μB/cell) = 0.00


(4)
A geometry-optimized Cu2NiHg structure. Source: Alexandria, functional GGA-PBE.

Structure (extended XYZ):
```
4
Lattice="-3.495 0.733 -2.974 -3.741 -1.918 -1.980 -3.364 1.365 2.807" Properties=species:S:1:pos:R:3 pbc="T T T"
Cu -7.254 -1.134 -4.824
Cu -5.282 0.040 -1.204
Hg -7.950 0.135 -1.610
Ni -2.650 0.045 -0.537
```

Values from the calculation:
- formation energy (eV per atom) = 0.165
- spin magnetization (μB/cell) = 0.00


(5)
A geometry-optimized Cu2Ni2Hg structure. Source: Alexandria, functional GGA-PBE.

Structure (extended XYZ):
```
5
Lattice="-1.995 2.789 0.348 -2.072 -1.171 -2.494 -5.333 -2.061 3.016" Properties=species:S:1:pos:R:3 pbc="T T T"
Cu -2.726 0.206 -0.214
Cu -6.673 -0.649 1.085
Ni -4.719 -1.211 -0.275
Ni -4.681 0.769 1.146
Hg 0.000 0.000 0.000
```

Values from the calculation:
- formation energy (eV per atom) = 0.323
- excess energy over the best structure of this formula in the dataset (meV/atom) = 117.5
- spin magnetization (μB/cell) = 0.15


(6)
A geometry-optimized CuNi4Hg structure. Source: Alexandria, functional GGA-PBE.

Structure (extended XYZ):
```
6
Lattice="0.000 3.381 3.381 3.381 0.000 3.381 3.381 3.381 0.000" Properties=species:S:1:pos:R:3 pbc="T T T"
Ni 2.539 2.539 2.539
Ni 2.539 4.222 4.222
Ni 4.222 4.222 2.539
Ni 4.222 2.539 4.222
Hg 0.000 0.000 0.000
Cu 5.071 5.071 5.071
```

Values from the calculation:
- formation energy (eV per atom) = 0.182
- spin magnetization (μB/cell) = 0.98


(7)
A geometry-optimized Cu2Ni2Hg structure. Source: Alexandria, functional GGA-PBE.

Structure (extended XYZ):
```
5
Lattice="-2.062 2.368 -1.521 -1.135 -2.425 -2.237 -5.908 -1.414 1.810" Properties=species:S:1:pos:R:3 pbc="T T T"
Cu -4.785 0.463 -0.795
Cu -4.321 -1.934 -1.153
Hg 0.000 0.000 0.000
Ni -6.617 -1.156 -0.830
Ni -2.488 -0.315 -1.117
```

Values from the calculation:
- formation energy (eV per atom) = 0.304
- excess energy over the best structure of this formula in the dataset (meV/atom) = 98.2
- spin magnetization (μB/cell) = 0.00


(8)
A geometry-optimized CuNiHg2 structure. Source: Alexandria, functional GGA-PBE.

Structure (extended XYZ):
```
4
Lattice="-4.538 1.096 -7.314 -1.884 0.152 -8.468 -3.933 -1.882 -7.502" Properties=species:S:1:pos:R:3 pbc="T T T"
Cu -7.766 -0.475 -17.463
Hg -10.327 -0.632 -23.223
Hg -5.204 -0.318 -11.702
Ni -2.589 -0.158 -5.821
```

Values from the calculation:
- formation energy (eV per atom) = 0.289
- spin magnetization (μB/cell) = 0.00


It is found that the D(E_F) values, taken in the order of the records, are 1.5, 4.0, 2.6, 1.4, 4.4, 5.4, 2.9, 0.7 states/eV/cell.